# LaVF2

A geometry-optimized LaVF2 structure (PBE+U, the Alexandria database).

Lattice parameters (Å, degrees): 7.900 7.900 7.900 24.65 24.65 24.65
Atoms (fractional coordinates):
La 0.000 0.000 0.000
V 0.500 0.500 0.500
F 0.406 0.406 0.406
F 0.594 0.594 0.594

ΔE to the lowest computed polymorph, meV per atom: 0
Symmetry: No. 166
DOS at the Fermi energy, states/eV/atom: 0.5700